(1)
Rb2MnInTc: relaxed, PBE.

Lattice parameters (Å, degrees): 7.0318 4.1617 7.0318 90.00 90.00 90.00
Closest atoms and distances in Å follow each position.
Element x y z (fractional)
Mn1 0.0000 0.0000 0.0000  2 Tc 2.08
Rb1 0.0000 0.0000 0.5000  2 Mn 3.52
Rb2 0.5000 0.0000 0.0000  2 Mn 3.52
Tc1 0.0000 0.5000 0.0000  2 Mn 2.08
In1 0.5000 0.5000 0.5000  8 Rb 4.09, 2 In 4.16

Computed properties:
DFT total energy = -3.65 eV/atom
density of states at the Fermi level = 5.11 states/eV/f.u.
space-group type = No. 123
E_form = 1.189 eV/atom

***

(2)
KCu4Sb2: relaxed, PBE.

Lattice parameters (Å, degrees): 4.3083 4.3083 9.5877 77.02 77.02 60.00
Closest atoms and distances in Å follow each position.
Element x y z (fractional)
Sb1 0.7585 0.7585 0.7246  7 Cu 2.61-2.89
Sb2 0.2415 0.2415 0.2754  7 Cu 2.61-2.89
K1 0.0000 0.0000 0.0000  6 Sb 3.56
Cu1 0.1446 0.1446 0.5661  6 Cu 2.58-2.77, 1 Sb 2.69
Cu2 0.4537 0.4537 0.6390  4 Cu 2.57-2.58, 3 Sb 2.61
Cu3 0.8554 0.8554 0.4339  6 Cu 2.58-2.77, 1 Sb 2.69
Cu4 0.5463 0.5463 0.3610  4 Cu 2.57-2.58, 3 Sb 2.61

Computed properties:
DFT total energy = -3.81 eV/atom
uncorrected formation energy = -13 kJ per mole of atoms
density of states at the Fermi level = 2.07 states/eV/f.u.
space-group type = No. 166